No. 1
An optimized crystal structure of LaAgS3. Source: Alexandria via LeMat-Bulk, functional GGA-PBE.

ΔE_f (raw)	-0.679	eV/atom
magnetic moment	0.0	μB per formula unit
excess energy over the best structure of this formula in the dataset	0	meV/atom
Fermi-level density of states	1.810	states/eV per cell

abc: 4.8109 4.8109 4.8109
angles: 90.00 90.00 90.00
Last column: nearest neighbours and their distance in Å.
Space group Pm-3m (No. 221)
One atom of each set of equivalent atoms:
La: 0.0000 0.0000 0.0000  12 S 3.40
Ag: 0.5000 0.5000 0.5000  6 S 2.41
S: 0.0000 0.5000 0.5000  2 Ag 2.41

---

No. 2
An optimized crystal structure of La2ScMo. Source: Alexandria via LeMat-Bulk, functional GGA-PBE.

magnetic moment	0.0	μB per formula unit
excess energy over the best structure of this formula in the dataset	201	meV/atom
Fermi-level density of states	14.553	states/eV per cell

abc: 3.5244 3.5244 29.5137
angles: 90.00 90.00 120.00
Last column: nearest neighbours and their distance in Å.
Space group R-3m (No. 166, hexagonal axes)
One atom of each set of equivalent atoms:
La: 0.0000 0.0000 0.2398  3 Mo 2.97
Sc: 0.0000 0.0000 0.0000  6 La 3.43, 6 Sc 3.52
Mo: 0.0000 0.0000 0.5000  6 La 2.97

---

No. 3
An optimized crystal structure of LaAlZn2Cd. Source: Alexandria via LeMat-Bulk, functional GGA-PBE.

magnetic moment	0.0	μB per formula unit
final energy	-0.20401	Ry per atom
Fermi-level density of states	6.279	states/eV per cell

abc: 4.4059 4.4059 11.0544
angles: 90.00 90.00 90.00
Last column: nearest neighbours and their distance in Å.
Space group I-4m2 (No. 119)
One atom of each set of equivalent atoms:
La: 0.0000 0.0000 0.0000  8 Zn 3.35, 4 Cd 3.53, 4 Al 3.53
Al: 0.0000 0.5000 0.7500  4 Zn 2.68
Zn: 0.0000 0.0000 0.3886  1 Zn 2.46, 2 Cd 2.68, 2 Al 2.68
Cd: 0.0000 0.5000 0.2500  4 Zn 2.68

---

No. 4
An optimized crystal structure of MgScBr2. Source: Alexandria via LeMat-Bulk, functional GGA-PBE.

ΔE_f (raw)	-0.448	eV/atom
magnetic moment	1.1	μB per formula unit
excess energy over the best structure of this formula in the dataset	535	meV/atom
Fermi-level density of states	2.704	states/eV per cell

abc: 5.0809 5.0809 3.6085
angles: 90.00 90.00 90.00
Last column: nearest neighbours and their distance in Å.
Space group P4/mmm (No. 123)
One atom of each set of equivalent atoms:
Mg: 0.0000 0.0000 0.0000  8 Br 3.12
Sc: 0.5000 0.5000 0.0000  8 Br 3.12
Br: 0.0000 0.5000 0.5000  4 Mg 3.12, 4 Sc 3.12